The following is a GGA-PBE calculation of a relaxed Hg3Cl crystal, from the Alexandria database.

Cell: 8.7152 8.7152 5.1638 Å, 90.00 90.00 120.00°
Closest atoms and distances in Å follow each position.
Space group R-3m (No. 166, hexagonal axes)
Inequivalent atoms, fractional coordinates:
Hg1 0.0000 0.5000 0.0000 (multiplicity 9)  4 Hg 3.05, 2 Cl 3.05
Cl1 0.0000 0.0000 0.0000 (multiplicity 3)  6 Hg 3.05

Properties
Formation energy from raw total energies: -15.9 kJ per mole of atoms
Offset from the most stable computed form: 49 meV/atom

***

The following is a GGA-PBE calculation of a relaxed HgCl3 crystal, from the Alexandria database.

Cell: 3.9002 3.9002 26.9747 Å, 90.00 90.00 90.00°
Closest atoms and distances in Å follow each position.
Space group I4/mmm (No. 139)
Inequivalent atoms, fractional coordinates:
Hg1 0.0000 0.0000 0.1266 (multiplicity 4)  4 Cl 2.76
Cl1 0.0000 0.0000 0.3745 (multiplicity 4)  4 Hg 2.76
Cl2 0.0000 0.5000 0.0000 (multiplicity 4)  4 Cl 2.76
Cl3 0.0000 0.5000 0.2500 (multiplicity 4)  4 Cl 2.76

Properties
Formation energy from raw total energies: 5.0 kJ per mole of atoms

***

The following is a GGA-PBE calculation of a relaxed HgCl crystal, from the Alexandria database.

Cell: 11.3035 11.3035 3.8303 Å, 90.00 90.00 120.00°
Closest atoms and distances in Å follow each position.
Space group P6_3/m (No. 176)
Inequivalent atoms, fractional coordinates:
Hg1 0.0369 0.4305 0.2500 (multiplicity 6)  3 Cl 2.71-2.84, 2 Hg 2.85
Cl1 0.1690 0.3720 0.7500 (multiplicity 6)  3 Hg 2.71-2.84

Properties
Formation energy from raw total energies: -38.5 kJ per mole of atoms
Offset from the most stable computed form: 143 meV/atom

***

The following is a GGA-PBE calculation of a relaxed HgCl crystal, from the Alexandria database.

Cell: 3.9688 3.9688 3.9393 Å, 90.00 90.00 120.00°
Closest atoms and distances in Å follow each position.
Space group P-6m2 (No. 187)
Inequivalent atoms, fractional coordinates:
Hg1 0.0000 0.0000 0.0000 (multiplicity 1)  6 Cl 3.02
Cl1 0.3333 0.6667 0.5000 (multiplicity 1)  6 Hg 3.02

Properties
Formation energy from raw total energies: -13.5 kJ per mole of atoms
Offset from the most stable computed form: 402 meV/atom